Run P
Zn2GeIr2 | PBE | relaxed

SG ... No. 127
Crystal system ... tetragonal

Cell and atoms, written as POSCAR:
```
Zn2GeIr2
1.0
-3.938 -4.113 -2.781
3.930 -4.751 1.460
-1.891 -0.509 3.432
Ir Zn Ge
4 4 2
Cartesian
-1.970 -3.390 -1.589
1.962 -5.474 0.269
0.781 -2.280 0.092
-0.789 -6.584 -1.413
-1.732 -2.407 0.963
-2.918 -5.411 -0.136
-0.167 -6.966 1.148
1.018 -3.963 2.248
-0.004 -4.432 -0.660
0.000 0.000 0.000
```

=====

Run Q
Zn2GeIr2 | PBE | relaxed

SG ... No. 139
Crystal system ... tetragonal

Cell and atoms, written as POSCAR:
```
Zn2GeIr2
1.0
3.763 0.000 0.000
0.000 3.763 0.000
1.882 1.882 6.009
Ge Zn Ir
1 2 2
Cartesian
0.000 0.000 0.000
3.763 3.763 4.785
1.882 1.882 1.224
3.763 1.882 3.005
1.882 3.763 3.005
```

=====

Run R
Zn2GeIr2 | PBE | relaxed

SG ... No. 127
Crystal system ... tetragonal

Cell and atoms, written as POSCAR:
```
Zn2GeIr2
1.0
7.342 0.000 0.000
0.000 7.342 0.000
0.000 0.000 2.857
Ir Ge Zn
4 2 4
Cartesian
1.279 4.950 1.429
2.392 1.279 1.429
6.063 2.392 1.429
4.950 6.063 1.429
0.000 0.000 0.000
3.671 3.671 0.000
2.768 6.439 0.000
6.439 4.573 0.000
0.903 2.768 0.000
4.573 0.903 0.000
```

=====

The winner here is run P, beating the second structure by 26.3 kJ/mol of atoms.

=====

Run P
K2Ge | PBE | relaxed

SG ... No. 4
Crystal system ... monoclinic

Cell and atoms, written as POSCAR:
```
K2Ge
1.0
5.409 0.000 -0.012
0.000 4.178 0.000
-2.693 0.000 11.897
K Ge
4 2
Cartesian
2.709 1.752 1.689
0.006 3.853 4.371
0.008 3.840 10.197
2.711 1.764 7.515
2.710 1.749 11.156
0.006 3.837 0.729
```

=====

Run Q
K2Ge | PBE | relaxed

SG ... No. 2
Crystal system ... triclinic

Cell and atoms, written as POSCAR:
```
K2Ge
1.0
-1.150 3.833 -0.844
-2.649 -0.012 -6.183
-9.799 -2.720 0.552
K Ge
4 2
Cartesian
-9.370 1.539 -0.637
-8.945 0.822 -4.259
-4.228 -0.438 -5.837
-4.653 0.279 -2.215
-2.729 2.609 -4.160
-10.869 -1.508 -2.314
```

=====

The winner here is run P, beating the second structure by 1.0 kJ/mol of atoms.

=====

Run P
KLaGe2 | PBE | relaxed

SG ... No. 122
Crystal system ... tetragonal

Cell and atoms, written as POSCAR:
```
KLaGe2
1.0
-1.354 0.142 5.155
-1.322 -5.161 -0.205
8.385 -5.105 5.100
Ge La K
4 2 2
Cartesian
-0.080 -4.360 6.287
5.454 -5.051 5.708
5.100 -3.719 8.335
0.912 -1.814 5.130
2.846 -3.736 6.365
0.000 0.000 0.000
2.862 -6.387 3.685
-1.338 -2.509 2.475
```

=====

Run Q
KLaGe2 | PBE | relaxed

SG ... No. 225
Crystal system ... cubic

Cell and atoms, written as POSCAR:
```
KLaGe2
1.0
0.000 3.802 3.802
3.802 0.000 3.802
3.802 3.802 0.000
K Ge La
1 2 1
Cartesian
0.000 0.000 0.000
5.703 5.703 5.703
1.901 1.901 1.901
3.802 3.802 3.802
```

=====

The winner here is run Q, beating the second structure by 27.6 kJ/mol of atoms.

=====

Run P
K2LaGe2 | PBE | relaxed

SG ... No. 139
Crystal system ... tetragonal

Cell and atoms, written as POSCAR:
```
K2LaGe2
1.0
-1.912 2.340 4.751
4.733 -1.511 2.649
3.577 4.876 2.374
Ge K La
2 2 1
Cartesian
1.538 3.815 5.413
4.860 1.890 4.362
1.997 1.622 3.341
4.401 4.083 6.433
0.000 0.000 0.000
```

=====

Run Q
K2LaGe2 | PBE | relaxed

SG ... No. 127
Crystal system ... tetragonal

Cell and atoms, written as POSCAR:
```
K2LaGe2
1.0
9.649 0.000 0.000
0.000 9.649 0.000
0.000 0.000 3.214
K Ge La
4 4 2
Cartesian
5.913 1.088 0.000
8.561 5.913 0.000
1.088 3.736 0.000
3.736 8.561 0.000
6.626 7.848 1.607
1.802 6.626 1.607
3.023 1.802 1.607
7.848 3.023 1.607
0.000 0.000 0.000
4.825 4.825 0.000
```

=====

The winner here is run Q, beating the second structure by 17.4 kJ/mol of atoms.

=====

Run P
KLiGe | PBE | relaxed

SG ... No. 139
Crystal system ... tetragonal

Cell and atoms, written as POSCAR:
```
KLiGe
1.0
4.753 0.000 0.000
0.000 4.753 0.000
0.000 0.000 14.902
K Ge Li
4 4 4
Cartesian
0.000 0.000 4.790
2.377 2.377 12.241
2.377 2.377 2.661
0.000 0.000 10.112
0.000 0.000 1.251
2.377 2.377 8.702
0.000 0.000 13.650
2.377 2.377 6.200
0.000 2.377 7.451
2.377 0.000 0.000
0.000 2.377 0.000
2.377 0.000 7.451
```

=====

Run Q
KLiGe | PBE | relaxed

SG ... No. 11
Crystal system ... monoclinic

Cell and atoms, written as POSCAR:
```
KLiGe
1.0
-3.545 0.823 -2.285
0.713 -3.100 -2.222
-4.304 -6.908 8.257
K Li Ge
2 2 2
Cartesian
-1.410 -3.240 -1.013
-5.727 -5.945 4.763
-4.672 -4.429 -0.401
-2.464 -4.756 4.150
-3.841 -5.845 1.841
-3.295 -3.340 1.909
```

=====

The winner here is run P, beating the second structure by 4.6 kJ/mol of atoms.

=====

Run P
KLiGe | PBE | relaxed

SG ... No. 12
Crystal system ... monoclinic

Cell and atoms, written as POSCAR:
```
KLiGe
1.0
-3.253 -6.132 9.179
-2.791 -2.452 -2.627
6.185 -3.937 -2.898
Li K Ge
4 4 4
Cartesian
3.738 -4.687 -3.538
-3.598 -7.832 7.192
0.890 -8.575 7.056
2.041 -1.493 -0.775
0.807 -8.349 2.994
3.822 -4.914 0.525
-0.890 -5.155 5.756
-0.667 -4.171 0.660
3.037 -9.263 5.418
1.591 -3.999 -1.899
-0.106 -0.805 0.863
-1.451 -8.521 5.553
```

=====

Run Q
KLiGe | PBE | relaxed

SG ... No. 11
Crystal system ... monoclinic

Cell and atoms, written as POSCAR:
```
KLiGe
1.0
5.212 0.000 0.001
0.000 4.087 0.000
-1.306 0.000 9.710
K Ge Li
2 2 2
Cartesian
3.891 1.022 1.761
0.015 3.065 7.949
3.879 3.065 4.494
0.027 1.022 5.217
2.601 1.022 5.706
1.305 3.065 4.004
```

=====

Run R
KLiGe | PBE | relaxed

SG ... No. 1
Crystal system ... triclinic

Cell and atoms, written as POSCAR:
```
KLiGe
1.0
4.524 -0.001 0.027
-2.258 3.920 -0.069
-0.461 -2.317 11.269
Ge Li K
2 2 2
Cartesian
-0.139 1.612 9.365
-0.128 1.577 6.993
2.128 0.289 8.213
-0.135 -1.017 8.216
-2.378 2.858 4.727
0.306 1.349 0.367
```

=====

Run S
KLiGe | PBE | relaxed

SG ... No. 1
Crystal system ... triclinic

Cell and atoms, written as POSCAR:
```
KLiGe
1.0
-3.849 1.151 -0.414
0.612 -4.909 0.271
-0.490 1.970 10.493
Li Ge K
2 2 2
Cartesian
-0.640 -1.767 4.010
-2.555 -1.772 2.109
-0.023 -0.499 1.815
-1.967 0.579 3.179
-1.157 -1.414 10.184
-3.944 1.961 5.701
```

=====

The winner here is run P, beating the second structure by 0.8 kJ/mol of atoms.

=====

Run P
KLiGe2 | PBE | relaxed

SG ... No. 225
Crystal system ... cubic

Cell and atoms, written as POSCAR:
```
KLiGe2
1.0
-1.785 -3.126 3.575
-4.891 -1.346 -0.019
-1.320 -4.746 -1.210
Ge K Li
2 1 1
Cartesian
-5.997 -6.913 1.759
-1.999 -2.304 0.586
-3.998 -4.609 1.173
0.000 0.000 0.000
```

=====

Run Q
KLiGe2 | PBE | relaxed

SG ... No. 122
Crystal system ... tetragonal

Cell and atoms, written as POSCAR:
```
KLiGe2
1.0
4.985 0.000 0.000
0.000 4.985 0.000
2.492 2.492 9.403
K Ge Li
2 4 2
Cartesian
4.985 2.492 4.701
0.000 0.000 0.000
2.535 1.246 2.351
6.231 5.027 7.052
3.738 4.942 7.052
2.449 3.738 2.351
2.492 2.492 0.000
2.492 4.985 4.701
```

=====

The winner here is run Q, beating the second structure by 21.6 kJ/mol of atoms.

=====

Run P
KMg2Ge2 | PBE | relaxed

SG ... No. 139
Crystal system ... tetragonal

Cell and atoms, written as POSCAR:
```
KMg2Ge2
1.0
-2.746 3.192 2.062
-2.934 -0.163 -3.653
-5.740 -2.604 1.718
Mg Ge K
2 2 1
Cartesian
-5.757 -0.626 -1.365
-5.663 1.051 1.493
-7.930 -0.167 0.360
-3.490 0.592 -0.232
0.000 0.000 0.000
```

=====

Run Q
KMg2Ge2 | PBE | relaxed

SG ... No. 127
Crystal system ... tetragonal

Cell and atoms, written as POSCAR:
```
KMg2Ge2
1.0
-5.405 5.316 4.158
-6.690 -3.515 -4.202
-0.308 -2.015 2.175
Mg Ge K
4 4 2
Cartesian
-7.824 -1.091 -2.117
-4.271 2.892 2.073
-3.178 -0.612 -1.017
-8.917 2.413 0.973
-3.063 0.231 1.823
-5.443 -2.475 -1.020
-6.959 2.262 3.152
-9.340 -0.445 0.309
-6.048 0.900 -0.022
0.000 0.000 0.000
```

=====

The winner here is run P, beating the second structure by 8.7 kJ/mol of atoms.